1.
# HfTa3C4 (GGA-PBE, optimized geometry)
# Calculated formation energy   -0.7039 eV/atom
# ΔE to the lowest computed polymorph   0.000 eV/atom
data_HfTa3C4
_cell_length_a 4.516
_cell_length_b 4.516
_cell_length_c 4.516
_cell_angle_alpha 90.00
_cell_angle_beta 90.00
_cell_angle_gamma 90.00
_symmetry_space_group_name_H-M 'P m -3 m'
_symmetry_Int_Tables_number 221
_symmetry_space_group_name_Hall '-P 4 2 3'
loop_
_atom_site_label
_atom_site_fract_x
_atom_site_fract_y
_atom_site_fract_z
_atom_site_occupancy
Hf1 0.000 0.000 0.000 1
Ta1 0.000 0.500 0.500 1
C1 0.000 0.000 0.500 1
C2 0.500 0.500 0.500 1

***

2.
# PmNd4Tm3S8 (GGA-PBE, optimized geometry)
# Formation energy (no corrections)   -45.92 kcal/mol of atoms
data_PmNd4Tm3S8
_cell_length_a 7.8955
_cell_length_b 7.8955
_cell_length_c 19.8636
_cell_angle_alpha 90.00
_cell_angle_beta 90.00
_cell_angle_gamma 120.00
_symmetry_space_group_name_H-M 'R -3 m'
_symmetry_Int_Tables_number 166
_symmetry_space_group_name_Hall '-R 3 2"'
loop_
_atom_site_label
_atom_site_fract_x
_atom_site_fract_y
_atom_site_fract_z
_atom_site_occupancy
Pm1 0.0000 0.0000 0.0000 1
Nd1 0.0000 0.0000 0.5000 1
Nd2 0.0000 0.5000 0.5000 1
Tm1 0.0000 0.5000 0.0000 1
S1 0.0000 0.0000 0.2576 1
S2 0.0088 0.5044 0.2557 1

***

The records above yield VASP energy values of -88.04, -306.35 eV per cell, respectively.
The records above yield magnetization values of 0.000, 0.000 μB per formula unit, respectively.